Version P
Here is Zn8Ni2Pd after structural relaxation from Alexandria via LeMat-Bulk. Energies are from PBE.

Lattice parameters (Å, degrees): 6.3112 6.3112 4.0976 90.00 90.00 104.60
Closest atoms and distances in Å follow each position.
Fractional positions:
Zn: 0.1628 0.1628 0.0000  7 Zn 2.51-2.76, 1 Pd 2.60, 4 Ni 2.70
Zn: 0.1923 0.4628 0.5000  2 Ni 2.53-2.76, 7 Zn 2.59-2.76, 2 Pd 2.79
Zn: 0.2443 0.7557 0.0000  2 Ni 2.38, 1 Pd 2.55
Zn: 0.4628 0.1923 0.5000  2 Ni 2.53-2.76, 7 Zn 2.59-2.76, 2 Pd 2.79
Zn: 0.5372 0.8077 0.5000  2 Ni 2.53-2.76, 7 Zn 2.59-2.76, 2 Pd 2.79
Zn: 0.7557 0.2443 0.0000  2 Ni 2.38, 1 Pd 2.55
Zn: 0.8077 0.5372 0.5000  2 Ni 2.53-2.76, 7 Zn 2.59-2.76, 2 Pd 2.79
Zn: 0.8372 0.8372 0.0000  7 Zn 2.51-2.76, 1 Pd 2.60, 4 Ni 2.70
Ni: 0.1222 0.8778 0.5000  4 Zn 2.38-2.53, 1 Ni 2.44
Ni: 0.8778 0.1222 0.5000  4 Zn 2.38-2.53, 1 Ni 2.44
Pd: 0.5000 0.5000 0.0000  12 Zn 2.55-2.79

Results
- Space group: Cmmm
- Crystal system: orthorhombic


Version Q
Here is Zn8Ni2Pd after structural relaxation from Alexandria via LeMat-Bulk. Energies are from PBE.

Lattice parameters (Å, degrees): 7.0560 7.0560 6.1859 108.49 108.49 31.09
Closest atoms and distances in Å follow each position.
Fractional positions:
Zn: 0.0468 0.0468 0.2272  9 Zn 2.63-2.80, 1 Ni 2.66, 2 Pd 2.74
Zn: 0.1443 0.1443 0.7021  3 Ni 2.54-2.59, 7 Zn 2.65-2.80, 2 Pd 2.72
Zn: 0.3165 0.3165 0.5896  8 Zn 2.60-2.78, 3 Ni 2.62-2.70, 1 Pd 2.73
Zn: 0.3961 0.3961 0.0380  3 Ni 2.53-2.59, 7 Zn 2.62-2.78, 1 Pd 2.74
Zn: 0.6039 0.6039 0.9620  3 Ni 2.53-2.59, 7 Zn 2.62-2.78, 1 Pd 2.74
Zn: 0.6835 0.6835 0.4104  8 Zn 2.60-2.78, 3 Ni 2.62-2.70, 1 Pd 2.73
Zn: 0.8557 0.8557 0.2979  3 Ni 2.54-2.59, 7 Zn 2.65-2.80, 2 Pd 2.72
Zn: 0.9532 0.9532 0.7728  9 Zn 2.63-2.80, 1 Ni 2.66, 2 Pd 2.74
Ni: 0.2269 0.2269 0.1448  10 Zn 2.53-2.70, 2 Ni 2.81
Ni: 0.7731 0.7731 0.8552  10 Zn 2.53-2.70, 2 Ni 2.81
Pd: 0.5000 0.5000 0.5000  12 Zn 2.72-2.74

Results
- Space group: C2/m
- Crystal system: monoclinic


Relative energies in meV/atom: version P 35; version Q 0


Version P
Here is ZnNiPd4 after structural relaxation from Alexandria via LeMat-Bulk. Energies are from PBE.

Lattice parameters (Å, degrees): 2.8467 2.8467 10.6898 90.00 90.00 90.00
Closest atoms and distances in Å follow each position.
Fractional positions:
Zn: 0.0000 0.0000 0.0000  8 Pd 2.64, 4 Zn 2.85
Ni: 0.5000 0.5000 0.5000  8 Pd 2.60, 4 Ni 2.85
Pd: 0.0000 0.0000 0.3461  4 Ni 2.60, 8 Pd 2.84-2.85
Pd: 0.0000 0.0000 0.6539  4 Ni 2.60, 8 Pd 2.84-2.85
Pd: 0.5000 0.5000 0.1592  4 Zn 2.64, 8 Pd 2.84-2.85
Pd: 0.5000 0.5000 0.8408  4 Zn 2.64, 8 Pd 2.84-2.85

Results
- Space group: P4/mmm
- Crystal system: tetragonal


Version Q
Here is ZnNiPd4 after structural relaxation from Alexandria via LeMat-Bulk. Energies are from PBE.

Lattice parameters (Å, degrees): 4.2473 5.3257 7.7868 90.00 90.00 90.00
Closest atoms and distances in Å follow each position.
Fractional positions:
Zn: 0.2500 0.2500 0.0980  1 Ni 2.44, 4 Pd 2.52-2.67
Zn: 0.7500 0.7500 0.9020  1 Ni 2.44, 4 Pd 2.52-2.67
Ni: 0.2500 0.2500 0.4120  1 Zn 2.44, 4 Pd 2.49-2.66
Ni: 0.7500 0.7500 0.5880  1 Zn 2.44, 4 Pd 2.49-2.66
Pd: 0.2500 0.5013 0.7442  8 Pd 2.65-2.90, 3 Ni 2.78-2.91, 2 Zn 2.79
Pd: 0.2500 0.7500 0.0756  4 Zn 2.52-2.67, 1 Pd 2.69
Pd: 0.2500 0.7500 0.4217  4 Ni 2.49-2.66, 1 Pd 2.69
Pd: 0.2500 0.9987 0.7442  8 Pd 2.65-2.90, 3 Ni 2.78-2.91, 2 Zn 2.79
Pd: 0.7500 0.0013 0.2558  8 Pd 2.65-2.90, 3 Ni 2.78-2.91, 2 Zn 2.79
Pd: 0.7500 0.2500 0.5783  4 Ni 2.49-2.66, 1 Pd 2.69
Pd: 0.7500 0.2500 0.9244  4 Zn 2.52-2.67, 1 Pd 2.69
Pd: 0.7500 0.4987 0.2558  8 Pd 2.65-2.90, 3 Ni 2.78-2.91, 2 Zn 2.79

Results
- Space group: Pmmn
- Crystal system: orthorhombic


Relative energies in meV/atom: version P 0; version Q 83


Version P
Here is Zn8NiPd2 after structural relaxation from Alexandria via LeMat-Bulk. Energies are from PBE.

Lattice parameters (Å, degrees): 3.9950 3.9950 10.1507 90.00 90.00 90.00
Closest atoms and distances in Å follow each position.
Fractional positions:
Zn: 0.0000 0.0000 0.1791  8 Zn 2.70-2.74, 4 Pd 2.83
Zn: 0.0000 0.0000 0.8209  8 Zn 2.70-2.74, 4 Pd 2.83
Zn: 0.0000 0.5000 0.0000  8 Zn 2.70-2.82, 4 Pd 2.73
Zn: 0.0000 0.5000 0.3636  2 Ni 2.43, 2 Pd 2.70
Zn: 0.0000 0.5000 0.6364  2 Ni 2.43, 2 Pd 2.70
Zn: 0.5000 0.0000 0.0000  8 Zn 2.70-2.82, 4 Pd 2.73
Zn: 0.5000 0.0000 0.3636  2 Ni 2.43, 2 Pd 2.70
Zn: 0.5000 0.0000 0.6364  2 Ni 2.43, 2 Pd 2.70
Ni: 0.5000 0.5000 0.5000  8 Zn 2.43
Pd: 0.5000 0.5000 0.1840  12 Zn 2.70-2.83
Pd: 0.5000 0.5000 0.8160  12 Zn 2.70-2.83

Results
- Space group: P4/mmm
- Crystal system: tetragonal


Version Q
Here is Zn8NiPd2 after structural relaxation from Alexandria via LeMat-Bulk. Energies are from PBE.

Lattice parameters (Å, degrees): 7.1812 7.1812 6.2590 107.93 107.93 30.60
Closest atoms and distances in Å follow each position.
Fractional positions:
Zn: 0.0411 0.0411 0.2344  9 Zn 2.64-2.89, 2 Ni 2.70, 1 Pd 2.75
Zn: 0.1359 0.1359 0.6792  2 Ni 2.65, 7 Zn 2.67-2.81, 3 Pd 2.68-2.81
Zn: 0.3236 0.3236 0.5952  8 Zn 2.64-2.81, 3 Pd 2.68-2.69, 1 Ni 2.69
Zn: 0.4050 0.4050 0.0570  3 Pd 2.65-2.75, 8 Zn 2.65-2.94, 1 Ni 2.66
Zn: 0.5950 0.5950 0.9430  3 Pd 2.65-2.75, 8 Zn 2.65-2.94, 1 Ni 2.66
Zn: 0.6764 0.6764 0.4048  8 Zn 2.64-2.81, 3 Pd 2.68-2.69, 1 Ni 2.69
Zn: 0.8641 0.8641 0.3208  2 Ni 2.65, 7 Zn 2.67-2.81, 3 Pd 2.68-2.81
Zn: 0.9589 0.9589 0.7656  9 Zn 2.64-2.89, 2 Ni 2.70, 1 Pd 2.75
Ni: 0.5000 0.5000 0.5000  12 Zn 2.65-2.70
Pd: 0.2242 0.2242 0.1508  10 Zn 2.65-2.81, 2 Pd 2.92
Pd: 0.7758 0.7758 0.8492  10 Zn 2.65-2.81, 2 Pd 2.92

Results
- Space group: C2/m
- Crystal system: monoclinic


Relative energies in meV/atom: version P 28; version Q 0


Version P
Here is ZnNi2Pd2 after structural relaxation from Alexandria via LeMat-Bulk. Energies are from PBE.

Lattice parameters (Å, degrees): 7.2037 7.2037 2.7812 90.00 90.00 90.00
Closest atoms and distances in Å follow each position.
Fractional positions:
Zn: 0.0000 0.0000 0.0000  4 Pd 2.66, 2 Zn 2.78
Zn: 0.5000 0.5000 0.0000  4 Pd 2.66, 2 Zn 2.78
Ni: 0.1220 0.3780 0.5000  3 Ni 2.49-2.78, 6 Pd 2.50-2.57
Ni: 0.3780 0.8780 0.5000  3 Ni 2.49-2.78, 6 Pd 2.50-2.57
Ni: 0.6220 0.1220 0.5000  3 Ni 2.49-2.78, 6 Pd 2.50-2.57
Ni: 0.8780 0.6220 0.5000  3 Ni 2.49-2.78, 6 Pd 2.50-2.57
Pd: 0.1736 0.6736 0.0000  6 Ni 2.50-2.57, 2 Zn 2.66, 2 Pd 2.78
Pd: 0.3264 0.1736 0.0000  6 Ni 2.50-2.57, 2 Zn 2.66, 2 Pd 2.78
Pd: 0.6736 0.8264 0.0000  6 Ni 2.50-2.57, 2 Zn 2.66, 2 Pd 2.78
Pd: 0.8264 0.3264 0.0000  6 Ni 2.50-2.57, 2 Zn 2.66, 2 Pd 2.78

Results
- Space group: P4/mbm
- Crystal system: tetragonal


Version Q
Here is ZnNi2Pd2 after structural relaxation from Alexandria via LeMat-Bulk. Energies are from PBE.

Lattice parameters (Å, degrees): 6.9916 6.9916 2.8951 90.00 90.00 90.00
Closest atoms and distances in Å follow each position.
Fractional positions:
Zn: 0.0000 0.0000 0.0000  4 Ni 2.78, 2 Zn 2.90, 8 Pd 2.96
Zn: 0.5000 0.5000 0.0000  4 Ni 2.78, 2 Zn 2.90, 8 Pd 2.96
Ni: 0.1206 0.3794 0.0000  1 Ni 2.39, 6 Pd 2.47-2.56
Ni: 0.3794 0.8794 0.0000  1 Ni 2.39, 6 Pd 2.47-2.56
Ni: 0.6206 0.1206 0.0000  1 Ni 2.39, 6 Pd 2.47-2.56
Ni: 0.8794 0.6206 0.0000  1 Ni 2.39, 6 Pd 2.47-2.56
Pd: 0.1764 0.6764 0.5000  6 Ni 2.47-2.56
Pd: 0.3236 0.1764 0.5000  6 Ni 2.47-2.56
Pd: 0.6764 0.8236 0.5000  6 Ni 2.47-2.56
Pd: 0.8236 0.3236 0.5000  6 Ni 2.47-2.56

Results
- Space group: P4/mbm
- Crystal system: tetragonal


Relative energies in meV/atom: version P 36; version Q 0


Version P
Here is Zr2NiPd after structural relaxation from Alexandria via LeMat-Bulk. Energies are from PBE.

Lattice parameters (Å, degrees): 4.6597 4.6597 4.6597 60.00 60.00 60.00
Closest atoms and distances in Å follow each position.
Fractional positions:
Zr: 0.2500 0.2500 0.2500  4 Ni 2.85, 4 Pd 2.85
Zr: 0.7500 0.7500 0.7500  4 Ni 2.85, 4 Pd 2.85
Ni: 0.0000 0.0000 0.0000  8 Zr 2.85
Pd: 0.5000 0.5000 0.5000  8 Zr 2.85

Results
- Space group: Fm-3m
- Crystal system: cubic


Version Q
Here is Zr2NiPd after structural relaxation from Alexandria via LeMat-Bulk. Energies are from PBE.

Lattice parameters (Å, degrees): 5.8546 5.8546 5.8546 103.38 103.38 122.49
Closest atoms and distances in Å follow each position.
Fractional positions:
Zr: 0.1085 0.1250 0.4835  2 Ni 2.58, 2 Pd 2.74, 2 Zr 2.83
Zr: 0.3750 0.8915 0.0165  2 Ni 2.58, 2 Pd 2.74, 2 Zr 2.83
Zr: 0.6415 0.6250 0.5165  2 Ni 2.58, 2 Pd 2.74, 2 Zr 2.83
Zr: 0.8750 0.3585 0.9835  2 Ni 2.58, 2 Pd 2.74, 2 Zr 2.83
Ni: 0.0000 0.0000 0.0000  4 Zr 2.58, 2 Pd 2.82
Ni: 0.7500 0.2500 0.5000  4 Zr 2.58, 2 Pd 2.82
Pd: 0.2500 0.7500 0.5000  4 Zr 2.74, 2 Ni 2.82
Pd: 0.5000 0.5000 0.0000  4 Zr 2.74, 2 Ni 2.82

Results
- Space group: I-42d
- Crystal system: tetragonal


Version R
Here is Zr2NiPd after structural relaxation from Alexandria via LeMat-Bulk. Energies are from PBE.

Lattice parameters (Å, degrees): 3.2554 3.2554 6.7153 90.00 90.00 90.00
Closest atoms and distances in Å follow each position.
Fractional positions:
Zr: 0.0000 0.0000 0.2360  4 Ni 2.79, 4 Pd 2.91
Zr: 0.0000 0.0000 0.7640  4 Ni 2.79, 4 Pd 2.91
Ni: 0.5000 0.5000 0.0000  8 Zr 2.79
Pd: 0.5000 0.5000 0.5000  8 Zr 2.91

Results
- Space group: P4/mmm
- Crystal system: tetragonal


Relative energies in meV/atom: version P 24; version Q 346; version R 0


Version P
Here is ZrNi3Pd after structural relaxation from Alexandria via LeMat-Bulk. Energies are from PBE.

Lattice parameters (Å, degrees): 4.4844 4.4844 4.4844 90.00 90.00 90.00
Closest atoms and distances in Å follow each position.
Fractional positions:
Zr: 0.0000 0.0000 0.0000  12 Ni 3.17
Ni: 0.0000 0.5000 0.5000  2 Pd 2.24
Ni: 0.5000 0.0000 0.5000  2 Pd 2.24
Ni: 0.5000 0.5000 0.0000  2 Pd 2.24
Pd: 0.5000 0.5000 0.5000  6 Ni 2.24

Results
- Space group: Pm-3m
- Crystal system: cubic


Version Q
Here is ZrNi3Pd after structural relaxation from Alexandria via LeMat-Bulk. Energies are from PBE.

Lattice parameters (Å, degrees): 4.5036 4.5036 4.5036 90.00 90.00 90.00
Closest atoms and distances in Å follow each position.
Fractional positions:
Zr: 0.0000 0.0000 0.0000  6 Ni 2.25
Ni: 0.0000 0.0000 0.5000  2 Zr 2.25
Ni: 0.0000 0.5000 0.0000  2 Zr 2.25
Ni: 0.5000 0.0000 0.0000  2 Zr 2.25
Pd: 0.5000 0.5000 0.5000  12 Ni 3.18

Results
- Space group: Pm-3m
- Crystal system: cubic


Relative energies in meV/atom: version P 0; version Q 276


Version P
Here is ZrNiPd3 after structural relaxation from Alexandria via LeMat-Bulk. Energies are from PBE.

Lattice parameters (Å, degrees): 4.8546 4.8546 4.8546 90.00 90.00 90.00
Closest atoms and distances in Å follow each position.
Fractional positions:
Zr: 0.0000 0.0000 0.0000  6 Pd 2.43
Ni: 0.5000 0.5000 0.5000  12 Pd 3.43
Pd: 0.0000 0.0000 0.5000  2 Zr 2.43
Pd: 0.0000 0.5000 0.0000  2 Zr 2.43
Pd: 0.5000 0.0000 0.0000  2 Zr 2.43

Results
- Space group: Pm-3m
- Crystal system: cubic


Version Q
Here is ZrNiPd3 after structural relaxation from Alexandria via LeMat-Bulk. Energies are from PBE.

Lattice parameters (Å, degrees): 7.1355 7.1355 5.5998 92.73 92.73 33.37
Closest atoms and distances in Å follow each position.
Fractional positions:
Zr: 0.1238 0.1238 0.0132  3 Ni 2.67-2.83, 7 Pd 2.77-2.99
Zr: 0.8762 0.8762 0.9868  3 Ni 2.67-2.83, 7 Pd 2.77-2.99
Ni: 0.3131 0.3131 0.2430  6 Pd 2.55-2.68, 3 Zr 2.67-2.83
Ni: 0.6869 0.6869 0.7570  6 Pd 2.55-2.68, 3 Zr 2.67-2.83
Pd: 0.1031 0.1031 0.5159  2 Ni 2.68, 2 Zr 2.78-2.84, 8 Pd 2.79-2.86
Pd: 0.2953 0.2953 0.7088  3 Ni 2.55-2.63, 2 Zr 2.77, 4 Pd 2.78-2.81
Pd: 0.4984 0.4984 0.7532  1 Ni 2.58, 7 Pd 2.76-2.86
Pd: 0.5016 0.5016 0.2468  1 Ni 2.58, 7 Pd 2.76-2.86
Pd: 0.7047 0.7047 0.2912  3 Ni 2.55-2.63, 2 Zr 2.77, 4 Pd 2.78-2.81
Pd: 0.8969 0.8969 0.4841  2 Ni 2.68, 2 Zr 2.78-2.84, 8 Pd 2.79-2.86

Results
- Space group: C2/m
- Crystal system: monoclinic


Relative energies in meV/atom: version P 1501; version Q 0


Version P
Here is ZrNi2Pd2 after structural relaxation from Alexandria via LeMat-Bulk. Energies are from PBE.

Lattice parameters (Å, degrees): 7.1929 7.1929 2.9092 90.00 90.00 90.00
Closest atoms and distances in Å follow each position.
Fractional positions:
Zr: 0.0000 0.0000 0.0000  4 Pd 2.80, 2 Zr 2.91, 8 Ni 3.07
Zr: 0.5000 0.5000 0.0000  4 Pd 2.80, 2 Zr 2.91, 8 Ni 3.07
Ni: 0.1611 0.3389 0.5000  6 Pd 2.53-2.59
Ni: 0.3389 0.8389 0.5000  6 Pd 2.53-2.59
Ni: 0.6611 0.1611 0.5000  6 Pd 2.53-2.59
Ni: 0.8389 0.6611 0.5000  6 Pd 2.53-2.59
Pd: 0.1356 0.6356 0.0000  6 Ni 2.53-2.59, 1 Pd 2.76, 2 Zr 2.80
Pd: 0.3644 0.1356 0.0000  6 Ni 2.53-2.59, 1 Pd 2.76, 2 Zr 2.80
Pd: 0.6356 0.8644 0.0000  6 Ni 2.53-2.59, 1 Pd 2.76, 2 Zr 2.80
Pd: 0.8644 0.3644 0.0000  6 Ni 2.53-2.59, 1 Pd 2.76, 2 Zr 2.80

Results
- Space group: P4/mbm
- Crystal system: tetragonal


Version Q
Here is ZrNi2Pd2 after structural relaxation from Alexandria via LeMat-Bulk. Energies are from PBE.

Lattice parameters (Å, degrees): 6.4998 6.4998 3.5672 90.00 90.00 90.00
Closest atoms and distances in Å follow each position.
Fractional positions:
Zr: 0.0000 0.0000 0.0000  4 Ni 2.55
Zr: 0.5000 0.5000 0.0000  4 Ni 2.55
Ni: 0.1299 0.3701 0.0000  1 Ni 2.39, 2 Zr 2.55, 6 Pd 2.60-2.62
Ni: 0.3701 0.8701 0.0000  1 Ni 2.39, 2 Zr 2.55, 6 Pd 2.60-2.62
Ni: 0.6299 0.1299 0.0000  1 Ni 2.39, 2 Zr 2.55, 6 Pd 2.60-2.62
Ni: 0.8701 0.6299 0.0000  1 Ni 2.39, 2 Zr 2.55, 6 Pd 2.60-2.62
Pd: 0.1636 0.6636 0.5000  6 Ni 2.60-2.62
Pd: 0.3364 0.1636 0.5000  6 Ni 2.60-2.62
Pd: 0.6636 0.8364 0.5000  6 Ni 2.60-2.62
Pd: 0.8364 0.3364 0.5000  6 Ni 2.60-2.62

Results
- Space group: P4/mbm
- Crystal system: tetragonal


Relative energies in meV/atom: version P 95; version Q 0